1.
The following is a PBE calculation of a relaxed structure of Tm6IrPd, from the Alexandria database.

Output
Uncorrected energy (eV/atom): -5.498

Cell: 6.4376 6.4376 6.6770 Å, 100.10 100.10 117.52°
Closest atoms and distances in Å follow each position.
Positions (direct):
Tm1 0.0674 0.4194 0.2451  1 Ir 2.70, 1 Pd 2.76
Tm2 0.2488 0.2488 0.7546  1 Ir 2.70, 1 Pd 2.76
Tm3 0.4194 0.0674 0.2451  1 Ir 2.70, 1 Pd 2.76
Tm4 0.5806 0.9326 0.7549  1 Ir 2.70, 1 Pd 2.76
Tm5 0.7512 0.7512 0.2454  1 Ir 2.70, 1 Pd 2.76
Tm6 0.9326 0.5806 0.7549  1 Ir 2.70, 1 Pd 2.76
Ir1 0.0000 0.0000 0.0000  6 Tm 2.70
Pd1 0.5000 0.5000 0.5000  6 Tm 2.76

---

2.
The following is a PBE calculation of a relaxed structure of Tm8IrPd2, from the Alexandria database.

Output
Polymorph energy (0 for the lowest one) (meV/atom): 98.4
Uncorrected energy (eV/atom): -5.452

Cell: 7.6378 7.6378 5.8670 Å, 101.06 101.06 115.14°
Closest atoms and distances in Å follow each position.
Positions (direct):
Tm1 0.0000 0.0000 0.0000  1 Ir 2.90, 2 Pd 3.11
Tm2 0.0203 0.2702 0.5868  2 Pd 2.77-2.83, 1 Ir 2.95
Tm3 0.1526 0.5648 0.1792  1 Ir 2.84
Tm4 0.2702 0.0203 0.5868  2 Pd 2.77-2.83, 1 Ir 2.95
Tm5 0.4437 0.6937 0.7924  2 Pd 2.80-2.86, 1 Ir 2.97
Tm6 0.5648 0.1526 0.1792  1 Ir 2.84
Tm7 0.6937 0.4437 0.7924  2 Pd 2.80-2.86, 1 Ir 2.97
Tm8 0.7143 0.7143 0.3566  1 Ir 2.90, 2 Pd 3.08
Ir1 0.3572 0.3572 0.0102  8 Tm 2.84-2.97
Pd1 0.0467 0.6591 0.6756  5 Tm 2.77-3.08
Pd2 0.6591 0.0467 0.6756  5 Tm 2.77-3.08

---

3.
The following is a PBE calculation of a relaxed structure of Tm2IrPd2, from the Alexandria database.

Output
Uncorrected energy (eV/atom): -6.289

Cell: 7.3238 7.3238 7.3238 Å, 130.18 69.24 135.18°
Closest atoms and distances in Å follow each position.
Positions (direct):
Tm1 0.1620 0.2210 0.3830  2 Ir 2.76, 4 Pd 2.83-2.98
Tm2 0.3380 0.7210 0.0590  2 Ir 2.76, 4 Pd 2.83-2.98
Tm3 0.6620 0.2790 0.9410  2 Ir 2.76, 4 Pd 2.83-2.98
Tm4 0.8380 0.7790 0.6170  2 Ir 2.76, 4 Pd 2.83-2.98
Ir1 0.2500 0.2500 0.0000  4 Tm 2.76, 4 Pd 2.78, 2 Ir 2.79
Ir2 0.7500 0.7500 0.0000  4 Tm 2.76, 4 Pd 2.78, 2 Ir 2.79
Pd1 0.0997 0.6624 0.7621  2 Ir 2.78, 4 Tm 2.83-2.98
Pd2 0.4003 0.1624 0.5628  2 Ir 2.78, 4 Tm 2.83-2.98
Pd3 0.5997 0.8376 0.4372  2 Ir 2.78, 4 Tm 2.83-2.98
Pd4 0.9003 0.3376 0.2379  2 Ir 2.78, 4 Tm 2.83-2.98